Compound: Ho3ErAl2
Source: Alexandria
Functional: PBE
Structure: optimized geometry Values from VASP.

The value obtained for the energy above the lowest structure with this stoichiometry is 0.00 kJ per mole of atoms. As for the density of states at the Fermi level: 4.57 states/eV/f.u. The total energy is -4.5933 eV/atom. For the volume, the calculation gives 310.6 Å³/cell.

The structure in Quantum ESPRESSO input format:
```
&SYSTEM
  ibrav = 0, nat = 12, ntyp = 3
/
ATOMIC_SPECIES
Ho 164.93 Ho.upf
Al 26.98 Al.upf
Er 167.26 Er.upf
ATOMIC_POSITIONS crystal
Ho 0.000 0.972 0.040
Ho 0.500 0.686 0.178
Ho 0.000 0.814 0.677
Ho 0.500 0.186 0.822
Ho 0.000 0.314 0.323
Ho 0.000 0.472 0.960
Al 0.500 0.207 0.147
Al 0.000 0.293 0.647
Al 0.000 0.793 0.353
Al 0.500 0.707 0.853
Er 0.500 0.027 0.459
Er 0.500 0.527 0.541
CELL_PARAMETERS angstrom
5.070 0.000 0.000
0.000 6.514 0.000
0.000 0.000 9.405
```